VASP calculation (PBE) on a geometry-optimized LaMg9Zn3 structure.

As for the symmetry: C2/m. As for the formation energy from the elements: -0.1323 eV/atom. For the electronic total energy, the calculation gives -1.909 eV/atom.

abc: 5.724 7.531 7.566
angles: 82.02 67.77 68.47
Element x y z (fractional)
La 0.000 0.000 0.000
Mg 0.710 0.788 0.779
Mg 0.290 0.212 0.221
Mg 0.511 0.212 0.779
Mg 0.489 0.788 0.221
Mg 0.650 0.342 0.355
Mg 0.350 0.658 0.645
Mg 0.995 0.658 0.355
Mg 0.005 0.342 0.645
Mg 0.000 0.500 0.000
Zn 0.500 0.500 0.000
Zn 0.000 0.000 0.500
Zn 0.500 0.000 0.500


VASP calculation (PBE) on a geometry-optimized La3Mg7Zn4 structure.

As for the symmetry: C2/m. As for the formation energy from the elements: -0.1963 eV/atom. For the electronic total energy, the calculation gives -2.414 eV/atom.

abc: 4.799 8.921 9.077
angles: 65.02 74.67 74.40
Element x y z (fractional)
La 0.299 0.189 0.212
La 0.701 0.811 0.788
La 0.000 0.500 0.500
Mg 0.330 0.815 0.524
Mg 0.495 0.202 0.808
Mg 0.842 0.385 0.931
Mg 0.670 0.185 0.476
Mg 0.158 0.615 0.069
Mg 0.000 0.000 0.000
Mg 0.505 0.798 0.192
Zn 0.657 0.471 0.214
Zn 0.343 0.529 0.786
Zn 0.869 0.915 0.347
Zn 0.131 0.085 0.653


VASP calculation (PBE) on a geometry-optimized La5MgZn3 structure.

As for the symmetry: P6_3/mcm. As for the formation energy from the elements: -0.1495 eV/atom. For the electronic total energy, the calculation gives -3.489 eV/atom.

abc: 6.868 9.291 9.289
angles: 120.01 90.00 90.00
Element x y z (fractional)
La 0.000 0.667 0.333
La 0.500 0.333 0.667
La 0.000 0.333 0.667
La 0.500 0.667 0.333
La 0.750 0.682 0.682
La 0.750 0.000 0.318
La 0.750 0.318 0.000
La 0.250 0.318 0.318
La 0.250 0.000 0.682
La 0.250 0.682 0.000
Mg 0.000 0.000 0.000
Mg 0.500 0.000 0.000
Zn 0.750 0.340 0.340
Zn 0.750 0.000 0.660
Zn 0.750 0.660 0.000
Zn 0.250 0.660 0.660
Zn 0.250 0.000 0.340
Zn 0.250 0.340 0.000


VASP calculation (PBE) on a geometry-optimized La3Mg3Zn8 structure.

As for the symmetry: Immm. As for the formation energy from the elements: -0.3086 eV/atom. For the electronic total energy, the calculation gives -2.434 eV/atom.

abc: 4.646 8.702 8.702
angles: 63.50 74.52 74.52
Element x y z (fractional)
La 0.500 0.500 0.500
La 0.796 0.204 0.204
La 0.204 0.796 0.796
Mg 0.500 0.000 0.000
Mg 0.000 0.798 0.202
Mg 0.000 0.202 0.798
Zn 0.646 0.080 0.629
Zn 0.354 0.920 0.371
Zn 0.646 0.629 0.080
Zn 0.354 0.371 0.920
Zn 0.836 0.803 0.526
Zn 0.164 0.197 0.474
Zn 0.836 0.526 0.803
Zn 0.164 0.474 0.197


VASP calculation (PBE) on a geometry-optimized LaMg2Zn structure.

As for the symmetry: R-3m. As for the formation energy from the elements: 0.0490 eV/atom. For the electronic total energy, the calculation gives -2.299 eV/atom.

abc: 10.191 10.191 10.191
angles: 19.31 19.31 19.31
Element x y z (fractional)
La 0.750 0.750 0.750
Mg 0.985 0.985 0.985
Mg 0.515 0.515 0.515
Zn 0.250 0.250 0.250


VASP calculation (PBE) on a geometry-optimized La2Mg6Zn3 structure.

As for the symmetry: P-62m. As for the formation energy from the elements: -0.1329 eV/atom. For the electronic total energy, the calculation gives -2.246 eV/atom.

abc: 4.384 8.433 8.433
angles: 120.00 90.00 90.00
Element x y z (fractional)
La 0.000 0.667 0.333
La 0.000 0.333 0.667
Mg 0.500 0.710 0.710
Mg 0.500 0.000 0.290
Mg 0.000 0.206 0.206
Mg 0.000 0.794 0.000
Mg 0.500 0.290 0.000
Mg 0.000 0.000 0.794
Zn 0.500 0.392 0.392
Zn 0.500 0.608 0.000
Zn 0.500 0.000 0.608


VASP calculation (PBE) on a geometry-optimized LaMg4Zn structure.

As for the symmetry: F-43m. As for the formation energy from the elements: 0.0597 eV/atom. For the electronic total energy, the calculation gives -2.037 eV/atom.

abc: 5.991 5.991 5.991
angles: 60.00 60.00 60.00
Element x y z (fractional)
La 0.000 0.000 0.000
Mg 0.874 0.375 0.375
Mg 0.375 0.375 0.874
Mg 0.375 0.874 0.375
Mg 0.375 0.375 0.375
Zn 0.750 0.750 0.750


VASP calculation (PBE) on a geometry-optimized La6MgZn2 structure.

As for the symmetry: Immm. As for the formation energy from the elements: -0.1145 eV/atom. For the electronic total energy, the calculation gives -3.860 eV/atom.

abc: 9.045 9.045 9.045
angles: 106.56 112.40 109.50
Element x y z (fractional)
La 0.540 0.729 0.810
La 0.460 0.271 0.190
La 0.081 0.271 0.810
La 0.919 0.729 0.190
La 0.789 0.754 0.543
La 0.211 0.246 0.457
La 0.211 0.754 0.964
La 0.789 0.246 0.036
La 0.723 0.408 0.686
La 0.277 0.592 0.314
La 0.277 0.963 0.686
La 0.723 0.037 0.314
Mg 0.000 0.500 0.500
Mg 0.000 0.000 0.000
Zn 0.500 0.381 0.881
Zn 0.500 0.619 0.119
Zn 0.632 0.000 0.632
Zn 0.368 0.000 0.368


VASP calculation (PBE) on a geometry-optimized La2Mg3Zn structure.

As for the symmetry: C2/m. As for the formation energy from the elements: -0.1738 eV/atom. For the electronic total energy, the calculation gives -2.826 eV/atom.

abc: 6.048 6.048 6.056
angles: 90.04 119.86 120.05
Element x y z (fractional)
La 0.745 0.372 0.116
La 0.255 0.628 0.884
Mg 0.500 0.500 0.500
Mg 0.000 0.000 0.500
Mg 0.500 0.000 0.500
Zn 0.000 0.000 0.000


VASP calculation (PBE) on a geometry-optimized La2MgZn9 structure.

As for the symmetry: R-3m. As for the formation energy from the elements: -0.1496 eV/atom. For the electronic total energy, the calculation gives -2.059 eV/atom.

abc: 5.562 5.562 9.299
angles: 72.60 72.60 60.00
Element x y z (fractional)
La 0.859 0.859 0.423
La 0.141 0.141 0.577
Mg 0.000 0.000 0.000
Zn 0.665 0.665 0.004
Zn 0.335 0.335 0.996
Zn 0.500 0.500 0.500
Zn 0.418 0.418 0.240
Zn 0.923 0.418 0.240
Zn 0.418 0.923 0.240
Zn 0.582 0.582 0.760
Zn 0.582 0.077 0.760
Zn 0.077 0.582 0.760


VASP calculation (PBE) on a geometry-optimized La4Mg3Zn structure.

As for the symmetry: P4/mmm. As for the formation energy from the elements: -0.1612 eV/atom. For the electronic total energy, the calculation gives -3.382 eV/atom.

abc: 3.896 3.896 15.789
angles: 90.00 90.00 90.00
Element x y z (fractional)
Mg 0.500 0.500 0.244
Mg 0.500 0.500 0.500
Mg 0.500 0.500 0.756
Zn 0.500 0.500 0.000
La 0.000 0.000 0.890
La 0.000 0.000 0.110
La 0.000 0.000 0.372
La 0.000 0.000 0.628


VASP calculation (PBE) on a geometry-optimized LaMg8Zn4 structure.

As for the symmetry: I4/mmm. As for the formation energy from the elements: -0.1576 eV/atom. For the electronic total energy, the calculation gives -1.910 eV/atom.

abc: 5.653 7.464 7.464
angles: 81.75 67.75 67.75
Element x y z (fractional)
La 0.000 0.000 0.000
Mg 0.000 0.347 0.653
Mg 0.000 0.653 0.347
Mg 0.347 0.653 0.653
Mg 0.653 0.347 0.347
Mg 0.500 0.783 0.217
Mg 0.500 0.217 0.783
Mg 0.283 0.217 0.217
Mg 0.717 0.783 0.783
Zn 0.000 0.000 0.500
Zn 0.500 0.000 0.500
Zn 0.000 0.500 0.000
Zn 0.500 0.500 0.000


VASP calculation (PBE) on a geometry-optimized La4MgZn5 structure.

As for the symmetry: P4/mmm. As for the formation energy from the elements: -0.2595 eV/atom. For the electronic total energy, the calculation gives -3.027 eV/atom.

abc: 3.695 3.695 18.337
angles: 90.00 90.00 90.00
Element x y z (fractional)
La 0.000 0.000 0.189
La 0.000 0.000 0.395
La 0.000 0.000 0.605
La 0.000 0.000 0.811
Mg 0.000 0.000 0.000
Zn 0.500 0.500 0.080
Zn 0.500 0.500 0.293
Zn 0.500 0.500 0.500
Zn 0.500 0.500 0.707
Zn 0.500 0.500 0.920


VASP calculation (PBE) on a geometry-optimized La4MgZn structure.

As for the symmetry: F-43m. As for the formation energy from the elements: 0.3387 eV/atom. For the electronic total energy, the calculation gives -3.424 eV/atom.

abc: 6.557 6.557 6.557
angles: 60.00 60.00 60.00
Element x y z (fractional)
La 0.876 0.375 0.375
La 0.375 0.375 0.876
La 0.375 0.876 0.375
La 0.375 0.375 0.375
Mg 0.750 0.750 0.750
Zn 0.000 0.000 0.000


VASP calculation (PBE) on a geometry-optimized LaMg5Zn2 structure.

As for the symmetry: Immm. As for the formation energy from the elements: -0.1613 eV/atom. For the electronic total energy, the calculation gives -2.092 eV/atom.

abc: 4.211 7.040 7.040
angles: 72.52 72.60 72.60
Element x y z (fractional)
La 0.000 0.000 0.000
Mg 0.000 0.500 0.500
Mg 0.652 0.537 0.158
Mg 0.348 0.463 0.842
Mg 0.348 0.842 0.463
Mg 0.652 0.158 0.537
Zn 0.734 0.766 0.766
Zn 0.266 0.234 0.234


VASP calculation (PBE) on a geometry-optimized La3MgZn structure.

As for the symmetry: Pm-3m. As for the formation energy from the elements: 0.6581 eV/atom. For the electronic total energy, the calculation gives -2.872 eV/atom.

abc: 5.843 5.843 5.843
angles: 90.00 90.00 90.00
Element x y z (fractional)
Zn 0.500 0.500 0.500
Mg 0.000 0.000 0.000
La 0.000 0.500 0.000
La 0.000 0.000 0.500
La 0.500 0.000 0.000


VASP calculation (PBE) on a geometry-optimized LaMg4Zn2 structure.

As for the symmetry: Cmmm. As for the formation energy from the elements: -0.1869 eV/atom. For the electronic total energy, the calculation gives -2.166 eV/atom.

abc: 4.568 4.356 8.399
angles: 105.03 90.00 90.00
Element x y z (fractional)
La 0.000 0.000 0.000
Mg 0.500 0.821 0.642
Mg 0.000 0.678 0.356
Mg 0.500 0.179 0.358
Mg 0.000 0.322 0.644
Zn 0.500 0.576 0.152
Zn 0.500 0.424 0.848


VASP calculation (PBE) on a geometry-optimized La12MgZn6 structure.

As for the symmetry: R-3. As for the formation energy from the elements: -0.1009 eV/atom. For the electronic total energy, the calculation gives -3.699 eV/atom.

abc: 9.108 9.108 9.108
angles: 110.72 110.72 110.72
Element x y z (fractional)
La 0.816 0.653 0.509
La 0.509 0.816 0.653
La 0.653 0.509 0.816
La 0.184 0.347 0.491
La 0.491 0.184 0.347
La 0.347 0.491 0.184
La 0.912 0.814 0.270
La 0.186 0.730 0.088
La 0.730 0.088 0.186
La 0.088 0.186 0.730
La 0.814 0.270 0.912
La 0.270 0.912 0.814
Mg 0.000 0.000 0.000
Zn 0.655 0.933 0.426
Zn 0.574 0.345 0.067
Zn 0.067 0.574 0.345
Zn 0.345 0.067 0.574
Zn 0.426 0.655 0.933
Zn 0.933 0.426 0.655


VASP calculation (PBE) on a geometry-optimized LaMg3Zn3 structure.

As for the symmetry: P2_1/m. As for the formation energy from the elements: -0.1496 eV/atom. For the electronic total energy, the calculation gives -2.083 eV/atom.

abc: 4.793 8.559 8.573
angles: 119.91 90.00 90.00
Element x y z (fractional)
La 0.750 0.334 0.667
La 0.250 0.666 0.333
Mg 0.750 0.776 0.025
Mg 0.750 0.250 0.225
Mg 0.750 0.975 0.750
Mg 0.250 0.224 0.975
Mg 0.250 0.750 0.775
Mg 0.250 0.025 0.250
Zn 0.750 0.923 0.395
Zn 0.750 0.471 0.077
Zn 0.750 0.605 0.528
Zn 0.250 0.077 0.605
Zn 0.250 0.529 0.923
Zn 0.250 0.395 0.472


VASP calculation (PBE) on a geometry-optimized LaMg10Zn2 structure.

As for the symmetry: Fmmm. As for the formation energy from the elements: -0.1041 eV/atom. For the electronic total energy, the calculation gives -1.906 eV/atom.

abc: 5.824 7.661 7.682
angles: 81.72 67.72 67.66
Element x y z (fractional)
La 0.000 0.000 0.000
Mg 0.349 0.640 0.662
Mg 0.651 0.360 0.338
Mg 0.989 0.360 0.662
Mg 0.011 0.640 0.338
Mg 0.000 0.000 0.500
Mg 0.500 0.000 0.500
Mg 0.284 0.225 0.207
Mg 0.716 0.775 0.793
Mg 0.509 0.775 0.207
Mg 0.491 0.225 0.793
Zn 0.000 0.500 0.000
Zn 0.500 0.500 0.000


VASP calculation (PBE) on a geometry-optimized La4MgZn structure.

As for the symmetry: P4/mmm. As for the formation energy from the elements: -0.1264 eV/atom. For the electronic total energy, the calculation gives -3.889 eV/atom.

abc: 3.863 3.863 12.750
angles: 90.02 90.02 90.00
Site moments in Bohr magnetons follow the coordinates.
Element x y z (fractional)
La 0.500 0.500 0.840  0.11
La 0.500 0.500 0.160  0.11
La 0.000 0.000 0.639  0.12
La 0.000 0.000 0.361  0.12
Mg 0.000 0.000 0.000  -0.01
Zn 0.500 0.500 0.500  -0.01


VASP calculation (PBE) on a geometry-optimized LaMg6Zn structure.

As for the symmetry: Amm2. As for the formation energy from the elements: -0.0289 eV/atom. For the electronic total energy, the calculation gives -2.000 eV/atom.

abc: 7.423 7.423 4.862
angles: 90.00 90.00 132.15
Element x y z (fractional)
La 0.298 0.702 0.500
Mg 0.805 0.682 0.500
Mg 0.318 0.195 0.500
Mg 0.676 0.825 0.000
Mg 0.175 0.324 0.000
Mg 0.715 0.285 0.000
Mg 0.133 0.867 0.000
Zn 0.880 0.120 0.500